Compound: BeTlRu2
Source: Alexandria
Functional: PBE
Structure: optimized geometry

Lattice parameters (Å, degrees): 2.9100 4.0894 5.4071 90.00 105.56 90.00
Last column: nearest neighbours and their distance in Å.
Space group Pm (No. 6)
Unique sites:
1 Be 0.0000 0.0000 0.0000 x1  4 Ru 2.26-2.43
2 Tl 0.3609 0.5000 0.7129 x1  7 Ru 2.76-3.07, 2 Tl 2.91, 4 Be 2.92-2.93
3 Ru 0.0955 0.5000 0.1826 x1  2 Be 2.26
4 Ru 0.6889 0.0000 0.3734 x1  2 Be 2.42-2.43, 4 Ru 2.70

## Properties
Distance to the lowest polymorph of the same formula, eV per atom: 0.1559
Energy relative to the elements, meV/atom: 429